Hf4Cu2CN | PBE | relaxed

Uncorrected energy = -8.7454 eV/atom

Cell lengths 3.2251, 3.2251, 13.5326 Å; angles 90.00, 90.00, 120.00 degrees
Last column: nearest neighbours and their distance in Å.
Space group P-3m1 (No. 164)
Symmetry-distinct sites (fractional):
Hf 0.3333 0.6667 0.0960 (multiplicity 2)  3 C 2.27
Hf 0.3333 0.6667 0.4058 (multiplicity 2)  3 N 2.26
Cu 0.3333 0.6667 0.7475 (multiplicity 2)  6 Hf 2.79-2.82
C 0.0000 0.0000 0.0000 (multiplicity 1)  6 Hf 2.27
N 0.0000 0.0000 0.5000 (multiplicity 1)  6 Hf 2.26



Hf4CuNiC2 | PBE | relaxed

Uncorrected energy = -8.9344 eV/atom

Cell lengths 3.2557, 3.2557, 13.2719 Å; angles 90.00, 90.00, 120.00 degrees
Last column: nearest neighbours and their distance in Å.
Space group P-6m2 (No. 187)
Symmetry-distinct sites (fractional):
Hf 0.0000 0.0000 0.1455 (multiplicity 2)  3 C 2.31
Hf 0.6667 0.3333 0.3432 (multiplicity 2)  3 C 2.28
Cu 0.0000 0.0000 0.5000 (multiplicity 1)  6 Hf 2.80
Ni 0.6667 0.3333 0.0000 (multiplicity 1)  6 Hf 2.70
C 0.3333 0.6667 0.2465 (multiplicity 2)  6 Hf 2.28-2.31